VASP calculation (GGA-PBE) on a relaxed Pm3Pr4Tl2 crystal.

Cell lengths 16.382, 5.212, 7.468 Å; angles 90.00, 110.21, 90.00 degrees
Space group C2/m (No. 12)
Inequivalent atoms, fractional coordinates:
Pm (0.000, 0.000, 0.000)
Pm (0.117, 0.000, 0.686)
Pr (0.063, 0.500, 0.350)
Pr (0.220, 0.000, 0.273)
Tl (0.141, 0.500, 0.982)

E, eV per atom: -4.35
Energy relative to the elements, kJ/mol of formula units: -100